Record 1
TbSmP2: optimized geometry, PBE-GGA.

Cell lengths 5.752, 5.752, 11.507 Å; angles 90.00, 90.00, 90.00 degrees
Space group I4_1/amd (No. 141, origin choice 2)
Inequivalent atoms, fractional coordinates:
Tb (0.000, 0.250, 0.375) x4
Sm (0.000, 0.250, 0.875) x4
P (0.000, 0.250, 0.127) x8

Energy of formation from the pure elements   -1.591 eV per atom
E above lowest polymorph   0.000 eV/atom
N(E_F)   1.707 states/eV/cell
Total energy   -26.53 eV per formula unit

=====

Record 2
TbSm4P5: optimized geometry, PBE-GGA.

Cell lengths 9.151, 9.151, 5.788 Å; angles 90.00, 90.00, 90.00 degrees
Space group I4/m (No. 87)
Inequivalent atoms, fractional coordinates:
Tb (0.000, 0.000, 0.000) x2
Sm (0.099, 0.700, 0.500) x8
P (0.000, 0.000, 0.500) x2
P (0.099, 0.702, 0.000) x8

Energy of formation from the pure elements   -1.579 eV per atom
N(E_F)   1.019 states/eV/cell
Total energy   -66.35 eV per formula unit

=====

Record 3
TbSmTh2P4: optimized geometry, PBE-GGA.

Cell lengths 7.087, 4.116, 7.130 Å; angles 90.00, 109.66, 90.00 degrees
Space group P2/m (No. 10)
Inequivalent atoms, fractional coordinates:
Tb (0.000, 0.000, 0.000) x1
Sm (0.000, 0.500, 0.500) x1
Th (0.500, 0.000, 0.500) x1
Th (0.500, 0.500, 0.000) x1
P (0.247, 0.500, 0.247) x2
P (0.248, 0.000, 0.751) x2

Energy of formation from the pure elements   -1.581 eV per atom
N(E_F)   3.933 states/eV/cell
Total energy   -58.48 eV per formula unit

=====

Record 4
TbSm3Th2P6: optimized geometry, PBE-GGA.

Cell lengths 17.910, 4.115, 8.208 Å; angles 90.00, 103.29, 90.00 degrees
Space group C2/m (No. 12)
Inequivalent atoms, fractional coordinates:
Tb (0.000, 0.000, 0.000) x2
Sm (0.000, 0.000, 0.500) x2
Sm (0.166, 0.500, 0.834) x4
Th (0.165, 0.500, 0.330) x4
P (0.000, 0.500, 0.247) x4
P (0.165, 0.000, 0.083) x4
P (0.167, 0.000, 0.583) x4

Energy of formation from the pure elements   -1.591 eV per atom
N(E_F)   7.726 states/eV/cell
Total energy   -85.17 eV per formula unit

=====

Record 5
Tb2SmTh3P6: optimized geometry, PBE-GGA.

Cell lengths 7.124, 12.320, 7.071 Å; angles 90.00, 109.61, 90.00 degrees
Space group C2/m (No. 12)
Inequivalent atoms, fractional coordinates:
Tb (0.000, 0.167, 0.000) x4
Sm (0.000, 0.500, 0.000) x2
Th (0.000, 0.000, 0.500) x2
Th (0.000, 0.334, 0.500) x4
P (0.246, 0.000, 0.246) x4
P (0.250, 0.168, 0.753) x8

Energy of formation from the pure elements   -1.585 eV per atom
N(E_F)   9.760 states/eV/cell
Total energy   -87.72 eV per formula unit

=====

Record 6
TbSm2Th3P6: optimized geometry, PBE-GGA.

Cell lengths 7.145, 12.356, 7.097 Å; angles 90.00, 109.60, 90.00 degrees
Space group C2/m (No. 12)
Inequivalent atoms, fractional coordinates:
Tb (0.000, 0.000, 0.000) x2
Sm (0.000, 0.334, 0.000) x4
Th (0.000, 0.167, 0.500) x4
Th (0.000, 0.500, 0.500) x2
P (0.248, 0.000, 0.751) x4
P (0.248, 0.165, 0.248) x8

Energy of formation from the pure elements   -1.581 eV per atom
N(E_F)   9.936 states/eV/cell
Total energy   -87.76 eV per formula unit

=====

Record 7
Tb2SmTmP4: optimized geometry, PBE-GGA.

Cell lengths 6.976, 4.031, 6.978 Å; angles 90.00, 109.47, 90.00 degrees
Space group P2/m (No. 10)
Inequivalent atoms, fractional coordinates:
Tb (0.000, 0.000, 0.000) x1
Tb (0.500, 0.500, 0.000) x1
Sm (0.000, 0.500, 0.500) x1
Tm (0.500, 0.000, 0.500) x1
P (0.255, 0.000, 0.752) x2
P (0.255, 0.500, 0.252) x2

Energy of formation from the pure elements   -1.594 eV per atom
N(E_F)   0.780 states/eV/cell
Total energy   -52.84 eV per formula unit

=====

Record 8
TbSm3Tm2P6: optimized geometry, PBE-GGA.

Cell lengths 7.003, 12.127, 6.999 Å; angles 90.00, 109.46, 90.00 degrees
Space group C2/m (No. 12)
Inequivalent atoms, fractional coordinates:
Tb (0.000, 0.000, 0.000) x2
Sm (0.000, 0.166, 0.500) x4
Sm (0.000, 0.500, 0.500) x2
Tm (0.000, 0.333, 0.000) x4
P (0.245, 0.500, 0.242) x4
P (0.249, 0.168, 0.242) x8

Energy of formation from the pure elements   -1.584 eV per atom
N(E_F)   3.330 states/eV/cell
Total energy   -79.19 eV per formula unit

=====

Q: What is the formula in the third record?
A: TbSmTh2P4

=====

Q: Number 3 is which compound?
A: TbSmTh2P4

=====

Q: Which of these has the lowest total energy?
A: TbSm2Th3P6

=====

Q: Look up the N(E_F) of the sixth one.
A: 9.936 states/eV/cell